1.
# VHIr2

VHIr2 after structural relaxation (GGA-PBE, the Alexandria database).

Values from the calculation:
* energy above the lowest structure with this stoichiometry: 0.0 meV/atom

POSCAR file:
```
VHIr2
1.0
6.1187 0.0000 0.0000
0.0000 6.1187 0.0000
3.0594 3.0594 2.4891
V H Ir
2 2 4
Direct
0.0000 0.0000 0.0000 V
0.7500 0.2500 0.5000 V
0.5000 0.5000 0.0000 H
0.2500 0.7500 0.5000 H
0.5326 0.1250 0.2500 Ir
0.8750 0.7826 0.7500 Ir
0.2174 0.6250 0.2500 Ir
0.3750 0.4674 0.7500 Ir
```

=====

2.
# Ba3PuMg2O8

Ba3PuMg2O8 after structural relaxation (GGA-PBE, the Alexandria database).

Values from the calculation:
* formation energy without anion corrections: -36.0 eV per formula unit

POSCAR file:
```
Ba3PuMg2O8
1.0
5.9781 0.0000 0.0000
-2.9891 5.1772 0.0000
0.0000 0.0000 7.6934
Pu Ba O Mg
1 3 8 2
Direct
0.0000 0.0000 0.5000 Pu
0.6667 0.3333 0.3357 Ba
0.3333 0.6667 0.6643 Ba
0.0000 0.0000 0.0000 Ba
0.6667 0.3333 0.0294 O
0.3333 0.6667 0.9706 O
0.8387 0.1613 0.6618 O
0.1613 0.3226 0.3382 O
0.3226 0.1613 0.6618 O
0.1613 0.8387 0.3382 O
0.8387 0.6774 0.6618 O
0.6774 0.8387 0.3382 O
0.3333 0.6667 0.2140 Mg
0.6667 0.3333 0.7860 Mg
```

=====

3.
# K4LaTh3S8

K4LaTh3S8 after structural relaxation (GGA-PBE, the Alexandria database).

Values from the calculation:
* formation energy without anion corrections: -27.7 eV per formula unit

POSCAR file:
```
K4LaTh3S8
1.0
8.2956 0.0000 0.0000
0.0000 8.8725 0.3968
-4.1478 -4.1423 5.8691
K S Th La
4 8 3 1
Direct
0.5000 0.0000 0.0000 K
0.0000 0.0000 0.0000 K
0.5000 0.0000 0.5000 K
0.0000 0.0000 0.5000 K
0.7372 0.7114 0.4744 S
0.2422 0.7134 0.9714 S
0.7293 0.7134 0.9714 S
0.2421 0.7133 0.4843 S
0.7579 0.2867 0.5157 S
0.7578 0.2866 0.0286 S
0.2707 0.2866 0.0286 S
0.2628 0.2886 0.5256 S
0.5000 0.5000 0.5000 Th
0.0000 0.5000 0.5000 Th
0.5000 0.5000 0.0000 Th
0.0000 0.5000 0.0000 La
```

=====

4.
# OsPb

OsPb after structural relaxation (GGA-PBE, the Alexandria database).

Values from the calculation:
* formation enthalpy at 0 K: 0.667 eV per atom

POSCAR file:
```
OsPb
1.0
4.4156 -0.0011 0.0061
3.3525 2.8736 0.0061
0.9029 0.3339 7.4862
Pb Os
2 2
Direct
0.5164 0.5164 0.4305 Pb
0.7336 0.7336 0.8195 Pb
0.9932 0.9932 0.0694 Os
0.2568 0.2568 0.1806 Os
```